Entry from Alexandria: a relaxed structure of BeIn2B2Rh5 (PBE-GGA).

Lattice parameters (Å, degrees): 2.940 9.393 9.393 90.00 90.00 90.00
Fractional coordinates of all 20 atoms:
Rh1 0.500 0.000 0.500
Rh2 0.500 0.209 0.069
Rh3 0.500 0.569 0.709
Rh4 0.500 0.709 0.431
Rh5 0.500 0.791 0.931
Rh6 0.500 0.291 0.569
Rh7 0.500 0.931 0.209
Rh8 0.500 0.500 0.000
Rh9 0.500 0.431 0.291
Rh10 0.500 0.069 0.791
Be1 0.000 0.500 0.500
Be2 0.000 0.000 0.000
B1 0.000 0.872 0.372
B2 0.000 0.372 0.128
B3 0.000 0.128 0.628
B4 0.000 0.628 0.872
In1 0.000 0.823 0.677
In2 0.000 0.323 0.823
In3 0.000 0.677 0.177
In4 0.000 0.177 0.323

Properties
DFT formation energy	-391	meV/atom